No. 1
# RbBeInH6 | the Alexandria database | PBE-GGA | optimized geometry
data_RbBeInH6
_cell_length_a 4.7410
_cell_length_b 4.7410
_cell_length_c 6.1022
_cell_angle_alpha 90.00
_cell_angle_beta 90.00
_cell_angle_gamma 120.00
_space_group_name_H-M_alt 'P 3 1 2'
_space_group_IT_number 149
_space_group_name_Hall 'P 3 2'
loop_
_atom_site_label
_atom_site_type_symbol
_atom_site_fract_x
_atom_site_fract_y
_atom_site_fract_z
Rb1 Rb 0.0000 0.0000 0.0000
Be1 Be 0.3333 0.6667 0.5000
In1 In 0.6667 0.3333 0.5000
H1 H 0.0457 0.3899 0.3368
# **Uncorrected energy**: -2.948 eV/atom



No. 2
# BeInRe2H | the Alexandria database | PBE-GGA | optimized geometry
data_BeInRe2H
_cell_length_a 4.146
_cell_length_b 4.146
_cell_length_c 4.533
_cell_angle_alpha 90.00
_cell_angle_beta 90.00
_cell_angle_gamma 90.00
_space_group_name_H-M_alt 'P 4/m m m'
_space_group_IT_number 123
_space_group_name_Hall '-P 4 2'
loop_
_atom_site_label
_atom_site_type_symbol
_atom_site_fract_x
_atom_site_fract_y
_atom_site_fract_z
Be1 Be 0.000 0.000 0.000
In1 In 0.000 0.000 0.500
Re1 Re 0.000 0.500 0.000
H1 H 0.500 0.500 0.500
# **Uncorrected energy**: -5.316 eV/atom



No. 3
# BeInHRh2 | the Alexandria database | PBE-GGA | optimized geometry
data_BeInHRh2
_cell_length_a 4.113
_cell_length_b 4.113
_cell_length_c 3.515
_cell_angle_alpha 90.00
_cell_angle_beta 90.00
_cell_angle_gamma 90.00
_space_group_name_H-M_alt 'P 4/m m m'
_space_group_IT_number 123
_space_group_name_Hall '-P 4 2'
loop_
_atom_site_label
_atom_site_type_symbol
_atom_site_fract_x
_atom_site_fract_y
_atom_site_fract_z
Be1 Be 0.000 0.000 0.000
In1 In 0.500 0.500 0.000
H1 H 0.000 0.000 0.500
Rh1 Rh 0.000 0.500 0.500
# **Uncorrected energy**: -5.134 eV/atom



No. 4
# Sc2BeInH | the Alexandria database | PBE-GGA | optimized geometry
data_Sc2BeInH
_cell_length_a 4.620
_cell_length_b 4.620
_cell_length_c 3.638
_cell_angle_alpha 90.00
_cell_angle_beta 90.00
_cell_angle_gamma 90.00
_space_group_name_H-M_alt 'P 4/m m m'
_space_group_IT_number 123
_space_group_name_Hall '-P 4 2'
loop_
_atom_site_label
_atom_site_type_symbol
_atom_site_fract_x
_atom_site_fract_y
_atom_site_fract_z
Sc1 Sc 0.000 0.500 0.000
Be1 Be 0.000 0.000 0.500
In1 In 0.500 0.500 0.500
H1 H 0.000 0.000 0.000
# **Uncorrected energy**: -4.703 eV/atom



| no. | spin magnetization (Bohr magnetons per cell) |
| --- | --- |
| 1 | 0.0 |
| 2 | 0.0 |
| 3 | 0.0 |
| 4 | 0.0 |